Computed, not measured: a relaxed CaZr3Re crystal at the GGA-PBE level of DFT. Values from VASP.

Cell and atoms, written as Quantum ESPRESSO input:
```
&SYSTEM
  ibrav = 0, nat = 5, ntyp = 3
/
ATOMIC_SPECIES
Re 186.21 Re.upf
Ca 40.08 Ca.upf
Zr 91.22 Zr.upf
CELL_PARAMETERS angstrom
-2.324 -4.235 0.290
4.238 -2.296 0.437
-0.245 0.464 4.811
ATOMIC_POSITIONS angstrom
Re 0.834 -3.034 2.769
Ca 0.000 0.000 0.000
Zr 2.119 -1.148 0.219
Zr -0.123 0.232 2.406
Zr -1.162 -2.118 0.145
```

Computed properties:
As for the space group: No. 221. The calculation puts the total energy at -5.90 eV per atom. For the relative energy among the computed polymorphs, the calculation gives 1.7409 eV per atom. The formation energy is 2.115 eV per atom.